1.
# PaGaB2O8

Crystalline PaGaB2O8 at its relaxed geometry (PBE, Alexandria via LeMat-Bulk).

Lattice parameters (Å, degrees): 4.8031 4.8031 6.5243 90.00 90.00 120.00
Last column: nearest neighbours and their distance in Å.
Space group P-3m1 (No. 164)
Symmetry-distinct sites (fractional):
Pa  0.0000  0.0000  0.0000 [1 per cell]  6 O 2.34
Ga  0.0000  0.0000  0.5000 [1 per cell]  6 O 1.96
B  0.3333  0.6667  0.2210 [2 per cell]  4 O 1.45-1.47
O  0.1673  0.3346  0.2879 [6 per cell]  1 B 1.45
O  0.3333  0.6667  0.9955 [2 per cell]  1 B 1.47

The size of the total moment is 0.163 μB/atom. The total DFT energy (no corrections) is -7.57 eV per atom. Its crystal system is trigonal. For the density of states at the Fermi level, the calculation gives 5.86 states/eV per cell.

=====

2.
# Ga2BPbO6

Crystalline Ga2BPbO6 at its relaxed geometry (PBE, Alexandria via LeMat-Bulk).

Lattice parameters (Å, degrees): 10.6874 8.7847 6.0712 90.00 118.59 90.00
Last column: nearest neighbours and their distance in Å.
Space group C2/c (No. 15)
Symmetry-distinct sites (fractional):
Ga  0.2015  0.0699  0.1345 [8 per cell]  4 O 1.84-1.88
B  0.0000  0.3245  0.7500 [4 per cell]  4 O 1.47-1.50
Pb  0.0000  0.3159  0.2500 [4 per cell]  8 O 2.35-2.62
O  0.0889  0.2389  0.9814 [8 per cell]  1 B 1.47
O  0.0980  0.4209  0.6954 [8 per cell]  1 B 1.50
O  0.1641  0.0841  0.4058 [8 per cell]  2 Ga 1.84-1.88

The size of the total moment is 0.000 μB/atom. The total DFT energy (no corrections) is -6.29 eV per atom. Its crystal system is monoclinic. For the density of states at the Fermi level, the calculation gives 8.34 states/eV per cell.

=====

3.
# Ga2B2PbO7

Crystalline Ga2B2PbO7 at its relaxed geometry (PBE, Alexandria via LeMat-Bulk).

Lattice parameters (Å, degrees): 5.0056 5.0056 25.3376 90.00 90.00 120.00
Last column: nearest neighbours and their distance in Å.
Space group R32 (No. 155, hexagonal axes)
Symmetry-distinct sites (fractional):
Ga  0.0000  0.0000  0.0692 [6 per cell]  4 O 1.75-1.88
B  0.0000  0.0000  0.2351 [6 per cell]  3 O 1.38
Pb  0.0000  0.0000  0.5000 [3 per cell]  6 O 2.58
O  0.0000  0.0000  0.0000 [3 per cell]  2 Ga 1.75
O  0.0387  0.2935  0.7673 [18 per cell]  1 B 1.38

The size of the total moment is 0.000 μB/atom. The total DFT energy (no corrections) is -6.80 eV per atom. Its crystal system is trigonal. For the density of states at the Fermi level, the calculation gives 0.00 states/eV per cell.

=====

4.
# GaBPbO4

Crystalline GaBPbO4 at its relaxed geometry (PBE, Alexandria via LeMat-Bulk).

Lattice parameters (Å, degrees): 7.1980 5.9942 8.3401 90.00 90.00 90.00
Last column: nearest neighbours and their distance in Å.
Space group Pnma (No. 62)
Symmetry-distinct sites (fractional):
Ga  0.0000  0.0000  0.0000 [4 per cell]  6 O 1.91-2.12
B  0.2224  0.2500  0.2643 [4 per cell]  3 O 1.39
Pb  0.0713  0.7500  0.3585 [4 per cell]  4 O 2.37-2.39
O  0.0980  0.2500  0.8852 [4 per cell]  2 Ga 1.91
O  0.1708  0.0489  0.1934 [8 per cell]  1 B 1.39
O  0.1775  0.7500  0.9065 [4 per cell]  1 B 1.39

The size of the total moment is 0.000 μB/atom. The total DFT energy (no corrections) is -6.65 eV per atom. Its crystal system is orthorhombic. For the density of states at the Fermi level, the calculation gives 0.00 states/eV per cell.

=====

5.
# Ga3B4PbO12

Crystalline Ga3B4PbO12 at its relaxed geometry (PBE, Alexandria via LeMat-Bulk).

Lattice parameters (Å, degrees): 9.6256 9.6256 7.5816 90.00 90.00 120.00
Last column: nearest neighbours and their distance in Å.
Space group R32 (No. 155, hexagonal axes)
Symmetry-distinct sites (fractional):
Ga  0.0000  0.5526  0.0000 [9 per cell]  6 O 1.96-2.03
B  0.0000  0.0000  0.5000 [3 per cell]  3 O 1.39
B  0.0000  0.4472  0.5000 [9 per cell]  3 O 1.38-1.39
Pb  0.0000  0.0000  0.0000 [3 per cell]  6 O 2.43
O  0.0000  0.5912  0.5000 [9 per cell]  1 B 1.39
O  0.0000  0.8553  0.5000 [9 per cell]  1 B 1.39
O  0.0278  0.2177  0.1857 [18 per cell]  1 B 1.38

The size of the total moment is 0.000 μB/atom. The total DFT energy (no corrections) is -6.95 eV per atom. Its crystal system is trigonal. For the density of states at the Fermi level, the calculation gives 10.77 states/eV per cell.

=====

6.
# GaBPd2O

Crystalline GaBPd2O at its relaxed geometry (PBE, Alexandria via LeMat-Bulk).

Lattice parameters (Å, degrees): 4.7603 4.7603 3.5739 90.00 90.00 90.00
Last column: nearest neighbours and their distance in Å.
Space group P4/mmm (No. 123)
Symmetry-distinct sites (fractional):
Ga  0.0000  0.0000  0.0000 [1 per cell]  2 O 1.79
B  0.5000  0.5000  0.5000 [1 per cell]  8 Pd 2.98
Pd  0.0000  0.5000  0.0000 [2 per cell]  2 Ga 2.38
O  0.0000  0.0000  0.5000 [1 per cell]  2 Ga 1.79

The size of the total moment is 0.000 μB/atom. The total DFT energy (no corrections) is -4.24 eV per atom. Its crystal system is tetragonal. For the density of states at the Fermi level, the calculation gives 0.66 states/eV per cell.

=====

7.
# PmGa3B4O12

Crystalline PmGa3B4O12 at its relaxed geometry (PBE, Alexandria via LeMat-Bulk).

Lattice parameters (Å, degrees): 9.5864 9.5864 7.5991 90.00 90.00 120.00
Last column: nearest neighbours and their distance in Å.
Space group R32 (No. 155, hexagonal axes)
Symmetry-distinct sites (fractional):
Pm  0.0000  0.0000  0.0000 [3 per cell]  6 O 2.39
Ga  0.0000  0.5507  0.0000 [9 per cell]  6 O 1.95-2.04
B  0.0000  0.0000  0.5000 [3 per cell]  3 O 1.39
B  0.0000  0.4460  0.5000 [9 per cell]  3 O 1.38-1.39
O  0.0000  0.5912  0.5000 [9 per cell]  1 B 1.39
O  0.0000  0.8549  0.5000 [9 per cell]  1 B 1.39
O  0.0265  0.2135  0.1861 [18 per cell]  1 B 1.38

The size of the total moment is 0.000 μB/atom. The total DFT energy (no corrections) is -7.36 eV per atom. Its crystal system is trigonal. For the density of states at the Fermi level, the calculation gives 0.00 states/eV per cell.

=====

8.
# PmGa4B3O12

Crystalline PmGa4B3O12 at its relaxed geometry (PBE, Alexandria via LeMat-Bulk).

Lattice parameters (Å, degrees): 7.1170 7.1170 7.1170 90.00 90.00 90.00
Last column: nearest neighbours and their distance in Å.
Space group Im-3 (No. 204)
Symmetry-distinct sites (fractional):
Pm  0.0000  0.0000  0.0000 [2 per cell]  12 O 2.62
Ga  0.2500  0.2500  0.2500 [8 per cell]  6 O 1.99
B  0.0000  0.0000  0.5000 [6 per cell]  4 O 1.62
O  0.0000  0.1558  0.3343 [24 per cell]  1 B 1.62

The size of the total moment is 0.000 μB/atom. The total DFT energy (no corrections) is -6.46 eV per atom. Its crystal system is cubic. For the density of states at the Fermi level, the calculation gives 0.00 states/eV per cell.

=====

9.
# PrGa4B3O12

Crystalline PrGa4B3O12 at its relaxed geometry (PBE, Alexandria via LeMat-Bulk).

Lattice parameters (Å, degrees): 7.1363 7.1363 7.1363 90.00 90.00 90.00
Last column: nearest neighbours and their distance in Å.
Space group Im-3 (No. 204)
Symmetry-distinct sites (fractional):
Pr  0.0000  0.0000  0.0000 [2 per cell]  12 O 2.64
Ga  0.2500  0.2500  0.2500 [8 per cell]  6 O 2.00
B  0.0000  0.0000  0.5000 [6 per cell]  4 O 1.62
O  0.0000  0.3350  0.1560 [24 per cell]  1 B 1.62

The size of the total moment is 0.000 μB/atom. The total DFT energy (no corrections) is -6.45 eV per atom. Its crystal system is cubic. For the density of states at the Fermi level, the calculation gives 0.00 states/eV per cell.

=====

10.
# PrGa3B4O12

Crystalline PrGa3B4O12 at its relaxed geometry (PBE, Alexandria via LeMat-Bulk).

Lattice parameters (Å, degrees): 9.6096 9.6096 7.6377 90.00 90.00 120.00
Last column: nearest neighbours and their distance in Å.
Space group R32 (No. 155, hexagonal axes)
Symmetry-distinct sites (fractional):
Pr  0.0000  0.0000  0.0000 [3 per cell]  6 O 2.42
Ga  0.0000  0.5512  0.0000 [9 per cell]  6 O 1.95-2.05
B  0.0000  0.0000  0.5000 [3 per cell]  3 O 1.39
B  0.0000  0.4451  0.5000 [9 per cell]  3 O 1.37-1.40
O  0.0000  0.5905  0.5000 [9 per cell]  1 B 1.40
O  0.0000  0.8549  0.5000 [9 per cell]  1 B 1.39
O  0.0269  0.2150  0.1882 [18 per cell]  1 B 1.37

The size of the total moment is 0.000 μB/atom. The total DFT energy (no corrections) is -7.35 eV per atom. Its crystal system is trigonal. For the density of states at the Fermi level, the calculation gives 0.00 states/eV per cell.

=====

11.
# PuGa3B4O12

Crystalline PuGa3B4O12 at its relaxed geometry (PBE, Alexandria via LeMat-Bulk).

Lattice parameters (Å, degrees): 9.6031 9.6031 7.6085 90.00 90.00 120.00
Last column: nearest neighbours and their distance in Å.
Space group R32 (No. 155, hexagonal axes)
Symmetry-distinct sites (fractional):
Pu  0.0000  0.0000  0.0000 [3 per cell]  6 O 2.41
Ga  0.0000  0.5513  0.0000 [9 per cell]  6 O 1.95-2.04
B  0.0000  0.0000  0.5000 [3 per cell]  3 O 1.39
B  0.0000  0.4454  0.5000 [9 per cell]  3 O 1.38-1.39
O  0.0000  0.5906  0.5000 [9 per cell]  1 B 1.39
O  0.0000  0.8549  0.5000 [9 per cell]  1 B 1.39
O  0.0272  0.2150  0.1865 [18 per cell]  1 B 1.38

The size of the total moment is 0.250 μB/atom. The total DFT energy (no corrections) is -7.74 eV per atom. Its crystal system is trigonal. For the density of states at the Fermi level, the calculation gives 44.41 states/eV per cell.

=====

12.
# Rb2GaB2O6

Crystalline Rb2GaB2O6 at its relaxed geometry (PBE, Alexandria via LeMat-Bulk).

Lattice parameters (Å, degrees): 5.2164 5.2164 19.1133 90.00 90.00 120.00
Last column: nearest neighbours and their distance in Å.
Space group R-3m (No. 166, hexagonal axes)
Symmetry-distinct sites (fractional):
Rb  0.0000  0.0000  0.2079 [6 per cell]  6 O 2.88
Ga  0.0000  0.0000  0.0000 [3 per cell]  6 O 2.02
B  0.0000  0.0000  0.3916 [6 per cell]  3 O 1.38
O  0.0277  0.5139  0.2714 [18 per cell]  1 B 1.38

The size of the total moment is 0.084 μB/atom. The total DFT energy (no corrections) is -6.31 eV per atom. Its crystal system is trigonal. For the density of states at the Fermi level, the calculation gives 16.27 states/eV per cell.